P.
Entry from the Alexandria database: a geometry-optimized Ba2PbSe structure (GGA-PBE).

a = 9.634 Å, b = 9.634 Å, c = 9.634 Å
α = 27.40°, β = 27.40°, γ = 27.40°
Sites, in units of the cell vectors:
Ba 0.238 0.238 0.238
Ba 0.762 0.762 0.762
Pb 0.000 0.000 0.000
Se 0.500 0.500 0.500

Output
SG = No. 166
density = 5.57 Mg/m³

Q.
Entry from the Alexandria database: a geometry-optimized Ba2PbSe structure (GGA-PBE).

a = 7.300 Å, b = 7.300 Å, c = 7.300 Å
α = 141.13°, β = 141.13°, γ = 56.14°
Sites, in units of the cell vectors:
Ba 0.000 0.000 0.000
Ba 0.750 0.250 0.500
Pb 0.250 0.750 0.500
Se 0.500 0.500 0.000

Output
SG = No. 119
density = 6.13 Mg/m³

Among the structures above, stability is smallest for Q.